# NaSr2BiRh

A geometry-optimized NaSr2BiRh structure (PBE, Alexandria via LeMat-Bulk).

Geometry as extended XYZ:
```
5
Lattice="5.9130 0.0000 0.0000 0.0000 5.9130 0.0000 0.0000 0.0000 5.2124" Properties=species:S:1:pos:R:3 pbc="T T T"
Na 0.0000 0.0000 0.0000
Sr 0.0000 2.9565 2.6062
Sr 2.9565 0.0000 2.6062
Bi 2.9565 2.9565 0.0000
Rh 2.9565 2.9565 2.6062
```

Values from the calculation:
- E_form: -0.307 eV/atom
- N(E_F): 3.838 states/eV per cell
- V: 182 Å³/cell
- Total moment: 0.000 μB/atom


# Ce5Te5O

A geometry-optimized Ce5Te5O structure (PBE, Alexandria via LeMat-Bulk).

Geometry as extended XYZ:
```
11
Lattice="6.7843 -3.0891 0.0000 6.7843 3.0891 0.0000 -2.9040 0.0000 8.0616" Properties=species:S:1:pos:R:3 pbc="T T T"
Ce 0.0000 0.0000 0.0000
Ce 4.2461 0.0000 1.1569
Ce 2.8080 0.0000 5.8385
Ce 7.8566 0.0000 2.2231
Ce 6.4185 0.0000 6.9048
Te -0.2556 0.0000 6.4662
Te 1.4317 0.0000 2.7676
Te 5.3323 0.0000 4.0308
Te 9.2328 0.0000 5.2940
Te 10.9201 0.0000 1.5954
O 6.7843 0.0000 0.0000
```

Values from the calculation:
- N(E_F): 33.276 states/eV per cell
- V: 338 Å³/cell
- Total DFT energy (no corrections): -6.0227 eV per atom
- Total moment: 0.328 μB/atom


# POs2Cl

A geometry-optimized POs2Cl structure (PBE, Alexandria via LeMat-Bulk).

Geometry as extended XYZ:
```
4
Lattice="2.8198 0.0000 0.0000 0.0000 3.9996 0.0000 0.0000 0.0000 5.3124" Properties=species:S:1:pos:R:3 pbc="T T T"
P 0.0000 0.0000 0.0000
Os 0.0000 1.9998 2.6562
Os 1.4099 1.9998 0.0000
Cl 1.4099 0.0000 2.6562
```

Values from the calculation:
- N(E_F): 3.081 states/eV per cell
- Energy above the lowest structure with this stoichiometry: 748 meV per atom
- V: 60 Å³/cell
- Total moment: 0.000 μB/atom


# BeP2Se

A geometry-optimized BeP2Se structure (PBE, Alexandria via LeMat-Bulk).

Geometry as extended XYZ:
```
16
Lattice="6.2104 0.0000 0.0000 0.0000 6.2104 0.0000 0.0000 0.0000 6.2104" Properties=species:S:1:pos:R:3 pbc="T T T"
Be 0.0000 0.0000 0.0000
Be 0.0000 3.1052 3.1052
Be 3.1052 0.0000 3.1052
Be 3.1052 3.1052 0.0000
P 1.5526 1.5526 1.5526
P 1.5526 1.5526 4.6578
P 1.5526 4.6578 1.5526
P 1.5526 4.6578 4.6578
P 4.6578 1.5526 1.5526
P 4.6578 1.5526 4.6578
P 4.6578 4.6578 1.5526
P 4.6578 4.6578 4.6578
Se 0.0000 0.0000 3.1052
Se 0.0000 3.1052 0.0000
Se 3.1052 0.0000 0.0000
Se 3.1052 3.1052 3.1052
```

Values from the calculation:
- N(E_F): 6.997 states/eV per cell
- Energy above the lowest structure with this stoichiometry: 1117 meV per atom
- V: 240 Å³/cell
- Total moment: 0.000 μB/atom


# HfSbF3

A geometry-optimized HfSbF3 structure (PBE, Alexandria via LeMat-Bulk).

Geometry as extended XYZ:
```
5
Lattice="4.6150 0.0000 0.0000 0.0000 4.6150 0.0000 0.0000 0.0000 4.6150" Properties=species:S:1:pos:R:3 pbc="T T T"
Hf 0.0000 0.0000 0.0000
Sb 2.3075 2.3075 2.3075
F 0.0000 2.3075 2.3075
F 2.3075 0.0000 2.3075
F 2.3075 2.3075 0.0000
```

Values from the calculation:
- N(E_F): 2.770 states/eV per cell
- Energy above the lowest structure with this stoichiometry: 1236 meV per atom
- V: 98 Å³/cell
- Total moment: 0.339 μB/atom


# NaTmPaO4

A geometry-optimized NaTmPaO4 structure (PBE, Alexandria via LeMat-Bulk).

Geometry as extended XYZ:
```
14
Lattice="-3.3878 3.5629 4.8796 3.3878 -3.5629 4.8796 3.3878 3.5629 -4.8796" Properties=species:S:1:pos:R:3 pbc="T T T"
Na 0.0000 1.7814 1.2814
Na 3.3878 1.7814 3.5982
Tm 1.6939 1.7814 -2.4398
Tm 1.6939 -1.7814 2.4398
Pa 3.3878 0.0000 0.0000
Pa 0.0000 0.0000 4.8796
O 3.3878 -0.2894 2.2347
O 3.3878 3.2735 -2.2347
O 1.9359 1.7814 -0.1752
O 4.8397 1.7814 -0.1752
O -1.4519 1.7814 5.0548
O 1.4519 1.7814 5.0548
O 0.0000 0.2894 7.1142
O 0.0000 3.8522 2.6449
```

Values from the calculation:
- N(E_F): 3.929 states/eV per cell
- V: 236 Å³/cell
- Total DFT energy (no corrections): -8.0768 eV per atom
- Total moment: 0.143 μB/atom